Density functional theory data (GGA-PBE) for a geometry-optimized TbCl2 structure.

Cell: 6.8938 6.8938 3.4880 Å, 90.00 90.00 90.00°
Space group P4_2/mnm (No. 136)
Asymmetric unit:
Tb 0.0000 0.0000 0.0000 x2
Cl 0.2197 0.2197 0.5000 x4

Computed properties:
Electronic total energy ... -4.664 eV per atom
Calculated density ... 4.6 g/cm³
Calculated volume ... 27.627 Å³ per atom